! InTc2CF, optimized geometry, DFT GGA-PBE; values from VASP
&SYSTEM
  ibrav = 0, nat = 5, ntyp = 4
/
ATOMIC_SPECIES
In 114.82 In.upf
Tc 98.00 Tc.upf
C 12.01 C.upf
F 19.00 F.upf
CELL_PARAMETERS angstrom
3.9768 0.0000 0.0000
0.0000 3.9768 0.0000
0.0000 0.0000 4.9361
ATOMIC_POSITIONS angstrom
In 0.0000 0.0000 0.0000
Tc 0.0000 1.9884 2.4681
Tc 1.9884 0.0000 2.4681
C 0.0000 0.0000 2.4681
F 1.9884 1.9884 0.0000
! - N(E_F) (states/eV per cell) = 5.12
! - E_tot (eV for the cell shown) = -32.15
! - E_form (uncorrected) (meV per atom) = 482.2

! ZrBe3Sb, optimized geometry, DFT GGA-PBE; values from VASP
&SYSTEM
  ibrav = 0, nat = 5, ntyp = 3
/
ATOMIC_SPECIES
Zr 91.22 Zr.upf
Be 9.01 Be.upf
Sb 121.76 Sb.upf
CELL_PARAMETERS angstrom
4.5203 0.0000 0.0000
0.0000 4.5203 0.0000
0.0000 0.0000 4.5203
ATOMIC_POSITIONS angstrom
Zr 0.0000 0.0000 0.0000
Be 0.0000 2.2601 2.2601
Be 2.2601 0.0000 2.2601
Be 2.2601 2.2601 0.0000
Sb 2.2601 2.2601 2.2601
! - N(E_F) (states/eV per cell) = 3.18
! - E_tot (eV for the cell shown) = -18.06
! - E_form (uncorrected) (meV per atom) = 1157.4
! - E above lowest polymorph (eV per atom) = 0.0000

! LiNd2O3, optimized geometry, DFT GGA-PBE; values from VASP
&SYSTEM
  ibrav = 0, nat = 6, ntyp = 3
/
ATOMIC_SPECIES
Li 6.94 Li.upf
Nd 144.24 Nd.upf
O 16.00 O.upf
CELL_PARAMETERS angstrom
-1.7022 1.8576 6.4742
1.7022 -1.8576 6.4742
1.7022 1.8576 -6.4742
ATOMIC_POSITIONS angstrom
Li 0.0000 0.0000 0.0000
Nd 0.0000 0.0000 4.6591
Nd 0.0000 0.0000 8.2893
O 0.0000 0.0000 2.2266
O 0.0000 1.8576 0.0000
O 0.0000 0.0000 10.7218
! - N(E_F) (states/eV per cell) = 0.78
! - E_tot (eV for the cell shown) = -42.98
! - E_form (uncorrected) (meV per atom) = -2776.3